The following is a PBE-GGA calculation of a relaxed PrSc2Zn2In2 crystal, from Alexandria.

a b c (Å): 4.6747 4.6747 26.0351
angles (deg): 90.00 90.00 120.00
Space group R-3m (No. 166, hexagonal axes)
Unique sites:
1 Pr 0.0000 0.0000 0.0000 [3 per cell]
2 Sc 0.0000 0.0000 0.1365 [6 per cell]
3 Zn 0.0000 0.0000 0.4422 [6 per cell]
4 In 0.0000 0.0000 0.2578 [6 per cell]

Properties
Total DFT energy (no corrections) in eV per atom: -3.932
V in Å³ per cell: 493
Calculated density in Mg/m³: 5.98
ΔH_f (0 K) in eV/f.u.: -2.05
Crystal system: trigonal

=====

The following is a PBE-GGA calculation of a relaxed Pr12Tm7Tl crystal, from Alexandria.

a b c (Å): 15.0770 15.0770 10.2823
angles (deg): 90.00 90.00 120.00
Space group R-3 (No. 148, hexagonal axes)
Unique sites:
1 Pr 0.0410 0.1871 0.2508 [18 per cell]
2 Pr 0.0447 0.2527 0.5752 [18 per cell]
3 Tm 0.0000 0.0000 0.5000 [3 per cell]
4 Tm 0.0670 0.2402 0.9283 [18 per cell]
5 Tl 0.0000 0.0000 0.0000 [3 per cell]

Properties
Total DFT energy (no corrections) in eV per atom: -4.456
V in Å³ per cell: 2024
Calculated density in Mg/m³: 7.57
ΔH_f (0 K) in eV/f.u.: 1.89
Crystal system: trigonal

=====

Q: What is the total DFT energy (no corrections) in the second record?
A: -4.456 eV per atom

=====

Q: Number 2 is which compound?
A: Pr12Tm7Tl